(1)
The following is a DFT calculation (PBE) of Sc2CuAs2 after structural relaxation.

a b c (Å): 7.4138 7.4138 3.5320
angles (deg): 90.00 90.00 90.00
Last column: nearest neighbours and their distance in Å.
Element x y z (fractional)
Sc  0.1498  0.3502  0.0000  6 As 2.68-2.89, 2 Cu 2.82
Sc  0.3502  0.8502  0.0000  6 As 2.68-2.89, 2 Cu 2.82
Sc  0.6498  0.1498  0.0000  6 As 2.68-2.89, 2 Cu 2.82
Sc  0.8502  0.6498  0.0000  6 As 2.68-2.89, 2 Cu 2.82
Cu  0.0000  0.0000  0.0000  4 Sc 2.82
Cu  0.5000  0.5000  0.0000  4 Sc 2.82
As  0.1586  0.6586  0.5000  6 Sc 2.68-2.89
As  0.3414  0.1586  0.5000  6 Sc 2.68-2.89
As  0.6586  0.8414  0.5000  6 Sc 2.68-2.89
As  0.8414  0.3414  0.5000  6 Sc 2.68-2.89

- V: 194.1 Å³/cell
- Mass density: 5.19 g cm⁻³
- Energy of formation from the pure elements: -3.0 eV/f.u.
- Space group: P4/mbm (127)


(2)
The following is a DFT calculation (PBE) of Fe2Mo after structural relaxation.

a b c (Å): 7.2482 7.2482 7.2482
angles (deg): 152.93 152.93 38.66
Last column: nearest neighbours and their distance in Å.
Element x y z (fractional)
Fe  0.2958  0.5458  0.7500  3 Fe 2.11-2.17
Fe  0.4542  0.7042  0.7500  3 Fe 2.11-2.17
Fe  0.5458  0.2958  0.2500  3 Fe 2.11-2.17
Fe  0.7042  0.4542  0.2500  3 Fe 2.11-2.17
Mo  0.1250  0.8750  0.2500  12 Fe 2.63-2.89
Mo  0.8750  0.1250  0.7500  12 Fe 2.63-2.89

- V: 78.7 Å³/cell
- Mass density: 8.76 g cm⁻³
- Energy of formation from the pure elements: 1.7 eV/f.u.
- Space group: I4_1/amd (141)


(3)
The following is a DFT calculation (PBE) of Sr2Ca13 after structural relaxation.

a b c (Å): 6.7570 9.7058 10.5239
angles (deg): 108.07 95.67 91.07
Last column: nearest neighbours and their distance in Å.
Element x y z (fractional)
Sr  0.0665  0.1366  0.3998  11 Ca 3.93-4.06, 1 Sr 4.00
Sr  0.9335  0.8634  0.6002  11 Ca 3.93-4.06, 1 Sr 4.00
Ca  0.0000  0.0000  0.0000  10 Ca 3.90-3.97, 2 Sr 3.98
Ca  0.1338  0.2728  0.8079  10 Ca 3.88-4.00, 2 Sr 4.03-4.06
Ca  0.1995  0.4037  0.1990  11 Ca 3.88-4.01, 1 Sr 3.96
Ca  0.2732  0.5362  0.6023  10 Ca 3.87-4.02, 2 Sr 3.95-3.96
Ca  0.3342  0.6675  0.9979  12 Ca 3.88-3.99
Ca  0.4044  0.7967  0.3936  9 Ca 3.88-4.08, 3 Sr 3.93-4.03
Ca  0.4675  0.9352  0.8035  10 Ca 3.90-4.08, 2 Sr 3.93-3.94
Ca  0.5325  0.0648  0.1965  10 Ca 3.90-4.08, 2 Sr 3.93-3.94
Ca  0.5956  0.2033  0.6064  9 Ca 3.88-4.08, 3 Sr 3.93-4.03
Ca  0.6658  0.3325  0.0021  12 Ca 3.88-3.99
Ca  0.7268  0.4638  0.3977  10 Ca 3.87-4.02, 2 Sr 3.95-3.96
Ca  0.8005  0.5963  0.8010  11 Ca 3.88-4.01, 1 Sr 3.96
Ca  0.8662  0.7272  0.1921  10 Ca 3.88-4.00, 2 Sr 4.03-4.06

- V: 652.0 Å³/cell
- Mass density: 1.77 g cm⁻³
- Energy of formation from the pure elements: 0.1 eV/f.u.
- Space group: P-1 (2)


(4)
The following is a DFT calculation (PBE) of Rb3TcNi after structural relaxation.

a b c (Å): 6.3422 6.3422 6.3422
angles (deg): 90.00 90.00 90.00
Last column: nearest neighbours and their distance in Å.
Element x y z (fractional)
Rb  0.0000  0.0000  0.5000  2 Ni 3.17
Rb  0.0000  0.5000  0.0000  2 Ni 3.17
Rb  0.5000  0.0000  0.0000  2 Ni 3.17
Tc  0.5000  0.5000  0.5000  12 Rb 4.48
Ni  0.0000  0.0000  0.0000  6 Rb 3.17

- V: 255.1 Å³/cell
- Polymorph energy (0 for the lowest one): 0 meV/atom
- Mass density: 2.69 g cm⁻³
- Energy of formation from the pure elements: 7.3 eV/f.u.
- Space group: Pm-3m (221)


(5)
The following is a DFT calculation (PBE) of RbSn4Pt2 after structural relaxation.

a b c (Å): 19.1537 4.6960 7.4218
angles (deg): 90.00 90.00 90.00
Last column: nearest neighbours and their distance in Å.
Element x y z (fractional)
Rb  0.1421  0.2500  0.0053  9 Sn 3.31-3.65, 4 Pt 3.66-3.67
Rb  0.3579  0.7500  0.5053  9 Sn 3.31-3.65, 4 Pt 3.66-3.67
Rb  0.6421  0.2500  0.4947  9 Sn 3.31-3.65, 4 Pt 3.66-3.67
Rb  0.8579  0.7500  0.9947  9 Sn 3.31-3.65, 4 Pt 3.66-3.67
Sn  0.0321  0.7500  0.8640  3 Pt 2.81-2.93, 1 Sn 3.14
Sn  0.0669  0.2500  0.4727  4 Pt 2.76-2.91
Sn  0.1834  0.7500  0.3066  4 Pt 2.86-2.96, 1 Sn 3.07
Sn  0.1934  0.7500  0.7198  3 Pt 2.81-2.86, 1 Sn 3.07
Sn  0.3066  0.2500  0.2198  3 Pt 2.81-2.86, 1 Sn 3.07
Sn  0.3166  0.2500  0.8066  4 Pt 2.86-2.96, 1 Sn 3.07
Sn  0.4331  0.7500  0.9727  4 Pt 2.76-2.91
Sn  0.4679  0.2500  0.3640  3 Pt 2.81-2.93, 1 Sn 3.14
Sn  0.5321  0.7500  0.6360  3 Pt 2.81-2.93, 1 Sn 3.14
Sn  0.5669  0.2500  0.0273  4 Pt 2.76-2.91
Sn  0.6834  0.7500  0.1934  4 Pt 2.86-2.96, 1 Sn 3.07
Sn  0.6934  0.7500  0.7802  3 Pt 2.81-2.86, 1 Sn 3.07
Sn  0.8066  0.2500  0.2802  3 Pt 2.81-2.86, 1 Sn 3.07
Sn  0.8166  0.2500  0.6934  4 Pt 2.86-2.96, 1 Sn 3.07
Sn  0.9331  0.7500  0.5273  4 Pt 2.76-2.91
Sn  0.9679  0.2500  0.1360  3 Pt 2.81-2.93, 1 Sn 3.14
Pt  0.0331  0.7500  0.2588  7 Sn 2.76-2.93
Pt  0.2110  0.2500  0.5156  7 Sn 2.78-2.96
Pt  0.2890  0.7500  0.0156  7 Sn 2.78-2.96
Pt  0.4669  0.2500  0.7588  7 Sn 2.76-2.93
Pt  0.5331  0.7500  0.2412  7 Sn 2.76-2.93
Pt  0.7110  0.2500  0.9844  7 Sn 2.78-2.96
Pt  0.7890  0.7500  0.4844  7 Sn 2.78-2.96
Pt  0.9669  0.2500  0.7412  7 Sn 2.76-2.93

- V: 667.6 Å³/cell
- Polymorph energy (0 for the lowest one): 0 meV/atom
- Mass density: 9.46 g cm⁻³
- Energy of formation from the pure elements: -2.8 eV/f.u.
- Space group: Pnma (62)


(6)
The following is a DFT calculation (PBE) of NbSbTeI2 after structural relaxation.

a b c (Å): 5.3412 5.3412 5.7749
angles (deg): 90.00 90.00 90.00
Last column: nearest neighbours and their distance in Å.
Element x y z (fractional)
Nb  0.0000  0.0000  0.0000  4 I 2.67, 2 Sb 2.89
Sb  0.0000  0.0000  0.5000  2 Nb 2.89
Te  0.5000  0.5000  0.5000  4 Sb 3.78, 8 I 3.93
I  0.0000  0.5000  0.0000  2 Nb 2.67
I  0.5000  0.0000  0.0000  2 Nb 2.67

- V: 164.7 Å³/cell
- Polymorph energy (0 for the lowest one): 0 meV/atom
- Mass density: 6.01 g cm⁻³
- Space group: P4/mmm (123)


So what do the calculations give for E? Going down the list: -29.0, -26.1, -29.3, -11.7, -31.8, -18.8 eV/f.u..